TbPm4Pr2Sc: relaxed, GGA-PBE.

Unit cell a=5.095 b=5.110 c=10.196 alpha=90.00 beta=90.06 gamma=90.00
Sites, in units of the cell vectors:
Tb  0.000  0.000  0.000
Pm  0.000  0.500  0.255
Pm  0.000  0.500  0.745
Pm  0.500  0.000  0.254
Pm  0.500  0.000  0.746
Pr  0.000  0.000  0.500
Pr  0.500  0.500  0.000
Sc  0.500  0.500  0.500

Properties
- Energy: -39.27 eV per cell
- Symmetry: No. 10

---

TbPmPrSc: relaxed, GGA-PBE.

Unit cell a=12.304 b=5.737 c=3.795 alpha=90.00 beta=107.77 gamma=90.00
Sites, in units of the cell vectors:
Tb  0.000  0.000  0.000
Tb  0.500  0.500  0.000
Pm  0.233  0.500  0.260
Pm  0.733  0.000  0.260
Pr  0.458  0.000  0.454
Pr  0.958  0.500  0.454
Sc  0.227  0.000  0.736
Sc  0.727  0.500  0.736

Properties
- Energy: -40.17 eV per cell
- Symmetry: No. 8

---

TbPm2Pr5Sc: relaxed, GGA-PBE.

Unit cell a=11.421 b=11.421 c=10.311 alpha=90.00 beta=90.00 gamma=152.30
Sites, in units of the cell vectors:
Tb  0.103  0.897  0.500
Tb  0.897  0.103  0.000
Pm  0.384  0.616  0.251
Pm  0.384  0.616  0.749
Pm  0.616  0.384  0.249
Pm  0.616  0.384  0.751
Pr  0.000  0.000  0.250
Pr  0.000  0.000  0.750
Pr  0.128  0.872  0.000
Pr  0.222  0.778  0.688
Pr  0.223  0.777  0.313
Pr  0.500  0.500  0.000
Pr  0.500  0.500  0.500
Pr  0.777  0.223  0.813
Pr  0.778  0.222  0.188
Pr  0.872  0.128  0.500
Sc  0.289  0.711  0.001
Sc  0.711  0.289  0.501

Properties
- Energy: -86.65 eV per cell
- Symmetry: No. 36

---

Tb3PmPrSc: relaxed, GGA-PBE.

Unit cell a=7.948 b=7.948 c=10.040 alpha=90.00 beta=90.00 gamma=143.10
Sites, in units of the cell vectors:
Tb  0.169  0.831  0.000
Tb  0.169  0.831  0.500
Tb  0.329  0.671  0.750
Tb  0.671  0.329  0.250
Tb  0.831  0.169  0.000
Tb  0.831  0.169  0.500
Pm  0.002  0.998  0.750
Pm  0.998  0.002  0.250
Pr  0.500  0.500  0.000
Pr  0.500  0.500  0.500
Sc  0.332  0.668  0.250
Sc  0.668  0.332  0.750

Properties
- Energy: -59.03 eV per cell
- Symmetry: No. 63